Record 1
{
  "formula": "HfIn2Ga",
  "functional": "PBE",
  "state": "optimized geometry",
  "cell": [[3.259, 0.000, 0.000], [1.630, 2.823, 0.000], [1.630, 0.941, 10.584]],
  "species": ["In", "In", "Ga", "Hf"],
  "fractional_positions": [[0.092, 0.092, 0.723], [0.908, 0.908, 0.277], [0.500, 0.500, 0.500], [0.000, 0.000, 0.000]],
  "crystal_system": "trigonal"
}



Record 2
{
  "formula": "Ba2CdBr2",
  "functional": "PBE",
  "state": "optimized geometry",
  "cell": [[-6.525, 4.366, -5.322], [-6.429, -1.244, 6.862], [1.079, 3.652, 1.673]],
  "species": ["Ba", "Ba", "Br", "Ba", "Br", "Br", "Br", "Ba", "Cd", "Cd"],
  "fractional_positions": [[0.171, 0.329, 0.000], [0.671, 0.171, 0.000], [0.129, 0.629, 0.500], [0.829, 0.671, 0.000], [0.371, 0.129, 0.500], [0.629, 0.871, 0.500], [0.871, 0.371, 0.500], [0.329, 0.829, 0.000], [0.500, 0.500, 0.000], [0.000, 0.000, 0.000]],
  "formation_energy_uncorrected_mev_per_atom": -1144,
  "crystal_system": "tetragonal"
}



Record 3
{
  "formula": "SbS2Cl",
  "functional": "PBE",
  "state": "optimized geometry",
  "cell": [[2.359, 0.000, 7.662], [-1.179, 2.043, 7.662], [-1.179, -2.043, 7.662]],
  "species": ["S", "Cl", "S", "Sb"],
  "fractional_positions": [[0.898, 0.898, 0.898], [0.000, 0.000, 0.000], [0.102, 0.102, 0.102], [0.500, 0.500, 0.500]],
  "formation_energy_uncorrected_mev_per_atom": -14,
  "crystal_system": "trigonal"
}



Record 4
{
  "formula": "NdPuH2",
  "functional": "PBE",
  "state": "optimized geometry",
  "cell": [[3.136, 0.000, 0.000], [0.000, 3.136, 0.000], [0.000, 0.000, 6.348]],
  "species": ["Nd", "H", "H", "Pu"],
  "fractional_positions": [[0.500, 0.500, 0.500], [0.000, 0.000, 0.751], [0.000, 0.000, 0.249], [0.500, 0.500, 0.000]],
  "crystal_system": "tetragonal"
}



Record 5
{
  "formula": "La6Pm2NdDy",
  "functional": "PBE",
  "state": "optimized geometry",
  "cell": [[9.272, 0.000, 0.902], [0.000, 7.012, 0.000], [-2.266, -3.506, 5.305]],
  "species": ["Dy", "Pm", "La", "Pm", "La", "La", "La", "Nd", "La", "La"],
  "fractional_positions": [[0.000, 0.500, 0.000], [0.169, 0.073, 0.147], [0.422, 0.628, 0.256], [0.831, 0.927, 0.853], [0.578, 0.372, 0.744], [0.806, 0.965, 0.396], [0.194, 0.035, 0.604], [0.500, 0.000, 0.000], [0.194, 0.569, 0.604], [0.806, 0.431, 0.396]],
  "crystal_system": "monoclinic"
}



Record 6
{
  "formula": "K2SiRu",
  "functional": "PBE",
  "state": "optimized geometry",
  "cell": [[-0.525, 3.508, 0.887], [-2.996, -0.252, -0.776], [-2.225, -2.728, 9.472]],
  "species": ["K", "Si", "Ru", "K"],
  "fractional_positions": [[0.500, 0.500, 0.330], [0.500, 0.500, 0.644], [0.000, 0.000, 0.608], [0.000, 0.000, 0.918]],
  "formation_energy_uncorrected_mev_per_atom": 154,
  "crystal_system": "orthorhombic"
}



Let's list D(E_F) in order: 0.698 0.935 0.405 1.410 1.765 0.549 states/eV/atom.
Let's list theoretical density in order: 8150 4854 3319 10380 6611 3001 kg/m³.
Let's list total energy in order: -4.318 -2.765 -3.569 -6.316 -4.664 -4.069 eV/atom.